#P
{
  "formula": "Lu",
  "functional": "GGA-PBEsol",
  "state": "relaxed",
  "cell": [[-2.223, -2.020, 1.510], [1.269, -3.920, -3.376], [2.647, 0.520, 4.593]],
  "species": ["Lu", "Lu", "Lu"],
  "frac_coords": [[0.500, 0.333, 0.667], [0.500, 0.667, 0.333], [0.000, 0.000, 0.000]],
  "space_group": "P6/mmm, No. 191"
}

=====

#Q
{
  "formula": "Lu",
  "functional": "GGA-PBEsol",
  "state": "relaxed",
  "cell": [[-0.174, -1.607, 2.969], [2.541, 0.261, 2.215], [-0.420, 1.763, 2.854]],
  "species": ["Lu"],
  "frac_coords": [[0.000, 0.000, 0.000]],
  "space_group": "Fm-3m, No. 225"
}

=====

What should be chosen as the least stable of them? Choose #P.

=====

#P
{
  "formula": "Lu",
  "functional": "GGA-PBEsol",
  "state": "relaxed",
  "cell": [[-0.931, 0.486, -3.251], [-3.296, 0.440, -0.785], [-0.564, 8.348, -0.385]],
  "species": ["Lu", "Lu", "Lu"],
  "frac_coords": [[0.000, 0.000, 0.000], [0.222, 0.222, 0.334], [0.778, 0.778, 0.666]],
  "space_group": "R-3m, No. 166"
}

=====

#Q
{
  "formula": "Lu",
  "functional": "GGA-PBEsol",
  "state": "relaxed",
  "cell": [[-0.664, 2.954, 1.665], [-1.640, -0.724, -2.954], [-3.898, -2.433, 2.760]],
  "species": ["Lu", "Lu"],
  "frac_coords": [[0.333, 0.667, 0.750], [0.667, 0.333, 0.250]],
  "space_group": "P6_3/mmc, No. 194"
}

=====

What should be chosen as the least stable of them? Choose #P.

=====

#P
{
  "formula": "Lu2MgS4",
  "functional": "GGA-PBEsol",
  "state": "relaxed",
  "cell": [[-3.403, -3.284, 6.052], [-4.980, -5.753, -1.048], [1.902, -7.150, 2.064]],
  "species": ["Lu", "Lu", "Lu", "Lu", "Mg", "Mg", "S", "S", "S", "S", "S", "S", "S", "S"],
  "frac_coords": [[0.625, 0.625, 0.125], [0.125, 0.625, 0.625], [0.625, 0.625, 0.625], [0.625, 0.125, 0.625], [0.250, 0.250, 0.250], [0.000, 0.000, 0.000], [0.869, 0.393, 0.869], [0.381, 0.381, 0.857], [0.381, 0.857, 0.381], [0.393, 0.869, 0.869], [0.869, 0.869, 0.393], [0.381, 0.381, 0.381], [0.857, 0.381, 0.381], [0.869, 0.869, 0.869]],
  "space_group": "Fd-3m, No. 227"
}

=====

#Q
{
  "formula": "Lu2MgS4",
  "functional": "GGA-PBEsol",
  "state": "relaxed",
  "cell": [[-3.692, -0.465, -0.179], [1.367, -7.013, -9.980], [0.951, -10.399, 7.438]],
  "species": ["Lu", "Lu", "Lu", "Lu", "Lu", "Lu", "Lu", "Lu", "Mg", "Mg", "Mg", "Mg", "S", "S", "S", "S", "S", "S", "S", "S", "S", "S", "S", "S", "S", "S", "S", "S"],
  "frac_coords": [[0.750, 0.886, 0.078], [0.250, 0.114, 0.922], [0.250, 0.614, 0.578], [0.750, 0.386, 0.422], [0.750, 0.857, 0.704], [0.250, 0.143, 0.296], [0.250, 0.643, 0.204], [0.750, 0.357, 0.796], [0.250, 0.882, 0.439], [0.750, 0.118, 0.561], [0.750, 0.618, 0.939], [0.250, 0.382, 0.061], [0.250, 0.984, 0.616], [0.750, 0.016, 0.384], [0.750, 0.516, 0.116], [0.250, 0.484, 0.884], [0.750, 0.970, 0.882], [0.250, 0.030, 0.118], [0.250, 0.530, 0.382], [0.750, 0.470, 0.618], [0.750, 0.779, 0.256], [0.250, 0.221, 0.744], [0.250, 0.721, 0.756], [0.750, 0.279, 0.244], [0.250, 0.745, 0.017], [0.750, 0.255, 0.983], [0.750, 0.755, 0.517], [0.250, 0.245, 0.483]],
  "space_group": "Pnma, No. 62"
}

=====

What should be chosen as the least stable of them? Choose #Q.

=====

#P
{
  "formula": "RbLuW2O8",
  "functional": "GGA-PBEsol",
  "state": "relaxed",
  "cell": [[-7.194, -1.456, -1.084], [-2.187, -1.757, -6.863], [4.700, -5.729, 0.241]],
  "species": ["Rb", "Rb", "Lu", "Lu", "W", "W", "W", "W", "O", "O", "O", "O", "O", "O", "O", "O", "O", "O", "O", "O", "O", "O", "O", "O"],
  "frac_coords": [[0.750, 0.800, 0.800], [0.250, 0.200, 0.200], [0.750, 0.227, 0.227], [0.250, 0.773, 0.773], [0.773, 0.694, 0.300], [0.227, 0.306, 0.700], [0.727, 0.300, 0.694], [0.273, 0.700, 0.306], [0.557, 0.760, 0.380], [0.443, 0.240, 0.620], [0.943, 0.380, 0.760], [0.057, 0.620, 0.240], [0.883, 0.056, 0.631], [0.117, 0.944, 0.369], [0.617, 0.631, 0.056], [0.383, 0.369, 0.944], [0.963, 0.370, 0.408], [0.037, 0.630, 0.592], [0.537, 0.408, 0.370], [0.463, 0.592, 0.630], [0.697, 0.959, 0.220], [0.303, 0.041, 0.780], [0.803, 0.220, 0.959], [0.197, 0.780, 0.041]],
  "space_group": "C2/c, No. 15"
}

=====

#Q
{
  "formula": "RbLuW2O8",
  "functional": "GGA-PBEsol",
  "state": "relaxed",
  "cell": [[-1.242, 4.213, 3.979], [3.519, -4.533, 1.483], [6.075, 3.963, -2.300]],
  "species": ["Rb", "Lu", "W", "W", "O", "O", "O", "O", "O", "O", "O", "O"],
  "frac_coords": [[0.000, 0.000, 0.000], [0.000, 0.000, 0.500], [0.667, 0.333, 0.749], [0.333, 0.667, 0.251], [0.833, 0.666, 0.673], [0.167, 0.334, 0.327], [0.833, 0.167, 0.673], [0.167, 0.833, 0.327], [0.334, 0.167, 0.673], [0.666, 0.833, 0.327], [0.667, 0.333, 0.979], [0.333, 0.667, 0.021]],
  "space_group": "P-3m1, No. 164"
}

=====

What should be chosen as the least stable of them? Choose #Q.